(1)
Entry from Alexandria via LeMat-Bulk: an optimized crystal structure of Hf2TaAl (PBE).

The calculation puts the energy relative to the elements at -160.8 meV/atom. Its total moment is 0.000 Bohr magnetons per cell. The value obtained for the density of states at the Fermi level is 1.263 states/eV per atom. Its density is 11.9 g/cm³. The total energy is -9.036 eV per atom.

Unit cell a=3.468 b=3.468 c=6.529 alpha=90.00 beta=90.00 gamma=90.00
Space group P4/mmm (No. 123)
Symmetry-distinct sites (fractional):
Hf1 0.000 0.000 0.248 x2
Ta1 0.500 0.500 0.000 x1
Al1 0.500 0.500 0.500 x1

---

(2)
Entry from Alexandria via LeMat-Bulk: an optimized crystal structure of Hf2TaAl (PBE).

The calculation puts the energy relative to the elements at -156.3 meV/atom. Its total moment is 0.000 Bohr magnetons per cell. The value obtained for the density of states at the Fermi level is 1.114 states/eV per atom. Its density is 12.1 g/cm³. The total energy is -9.032 eV per atom.

Unit cell a=4.367 b=4.367 c=4.074 alpha=90.00 beta=90.00 gamma=90.00
Space group P4/mmm (No. 123)
Symmetry-distinct sites (fractional):
Hf1 0.000 0.500 0.000 x2
Ta1 0.000 0.000 0.500 x1
Al1 0.500 0.500 0.500 x1

---

(3)
Entry from Alexandria via LeMat-Bulk: an optimized crystal structure of HfTaAl2 (PBE).

The energy above the most stable polymorph in this dataset comes out at 498 meV/atom. The calculation puts the energy relative to the elements at 216.5 meV/atom. Its total moment is 0.000 Bohr magnetons per cell. The value obtained for the density of states at the Fermi level is 0.559 states/eV per atom. Its density is 8.9 g/cm³. The total energy is -7.106 eV per atom.

Unit cell a=7.368 b=7.368 c=5.667 alpha=90.00 beta=90.00 gamma=90.00
Space group I-42d (No. 122)
Symmetry-distinct sites (fractional):
Hf1 0.000 0.000 0.000 x4
Ta1 0.000 0.000 0.500 x4
Al1 0.240 0.750 0.625 x8

---

(4)
Entry from Alexandria via LeMat-Bulk: an optimized crystal structure of HfTaAl2 (PBE).

The energy above the most stable polymorph in this dataset comes out at 159 meV/atom. The calculation puts the energy relative to the elements at -122.5 meV/atom. Its total moment is 0.000 Bohr magnetons per cell. The value obtained for the density of states at the Fermi level is 0.877 states/eV per atom. Its density is 9.6 g/cm³. The total energy is -7.445 eV per atom.

Unit cell a=3.522 b=3.522 c=5.766 alpha=90.00 beta=90.00 gamma=90.00
Space group P4/mmm (No. 123)
Symmetry-distinct sites (fractional):
Hf1 0.000 0.000 0.000 x1
Ta1 0.000 0.000 0.500 x1
Al1 0.500 0.500 0.267 x2

---

The highest energy relative to the elements belongs to which entry?
number 3

---

Number 1 is which compound?
Hf2TaAl

---

Which value of energy relative to the elements does entry 4 give?
-122.5 meV/atom

---

What is the formula in the fourth record?
HfTaAl2